{"formula": "LiZn2Fe", "functional": "PBE", "state": "relaxed", "cell": [[-1.4817, -4.0012, 8.2905], [-1.2690, -6.1920, 6.8548], [0.8878, -5.0273, 7.8023]], "species": ["Li", "Fe", "Zn", "Zn"], "fractional_positions": [[0.7532, 0.7532, 0.7532], [0.5000, 0.5000, 0.5000], [0.2447, 0.2447, 0.2447], [0.0022, 0.0022, 0.0022]], "formation_energy_ev_per_fu": 0.204, "m_tot_mub_per_cell": 2.37}